NiSe2O (PBE+U, optimized geometry); uncorrected energy = -2.75 eV per atom; magnetic moment = 0.00 μB per atom
1.0
1.467 0.847 7.973
-1.467 0.847 7.973
0.000 -1.694 7.973
Ni Se O
1 2 1
direct
0.000 0.000 0.000
0.095 0.095 0.095
0.905 0.905 0.905
0.500 0.500 0.500